Entry 1:
LaNdY6 (PBE, relaxed); excess energy over the best structure of this formula in the dataset = 0.00 eV per formula unit; spin magnetization = 0.0 Bohr magnetons per cell; electronic total energy = -5.9191 eV/atom
1.0
4.866 2.809 3.337
-4.866 2.809 3.337
0.000 -5.619 3.337
La Nd Y
1 1 6
direct
0.000 0.000 0.000
0.500 0.500 0.500
0.041 0.749 0.457
0.251 0.543 0.959
0.457 0.041 0.749
0.543 0.959 0.251
0.749 0.457 0.041
0.959 0.251 0.543

Entry 2:
CdPbSe2 (PBE, relaxed); spin magnetization = 0.0 Bohr magnetons per cell; E_form (uncorrected) = -91 kJ/mol of formula units; electronic total energy = -3.1329 eV/atom
1.0
4.226 0.000 0.000
0.000 6.798 0.000
0.000 0.000 7.777
Cd Pb Se
2 2 4
direct
0.000 0.000 0.000
0.500 0.500 0.000
0.000 0.000 0.500
0.500 0.500 0.500
0.000 0.500 0.231
0.000 0.500 0.769
0.500 0.000 0.231
0.500 0.000 0.769

Entry 3:
PmTlSe (PBE, relaxed); spin magnetization = 0.0 Bohr magnetons per cell; E_form (uncorrected) = -288 kJ/mol of formula units; electronic total energy = -4.5291 eV/atom
1.0
2.438 1.408 9.350
-2.438 1.408 9.350
0.000 -2.815 9.350
Pm Tl Se
2 2 2
direct
0.230 0.230 0.230
0.770 0.770 0.770
0.356 0.356 0.356
0.644 0.644 0.644
0.123 0.123 0.123
0.877 0.877 0.877

Entry 4:
Li5Cd3Ag (PBE, relaxed); spin magnetization = 0.0 Bohr magnetons per cell; electronic total energy = -1.8721 eV/atom
1.0
8.185 0.000 0.000
-4.093 7.089 0.000
0.000 0.000 5.631
Li Cd Ag
10 6 2
direct
0.000 0.301 0.250
0.000 0.699 0.750
0.301 0.000 0.250
0.301 0.301 0.750
0.333 0.667 0.000
0.333 0.667 0.500
0.667 0.333 0.000
0.667 0.333 0.500
0.699 0.000 0.750
0.699 0.699 0.250
0.000 0.361 0.750
0.000 0.639 0.250
0.361 0.000 0.750
0.361 0.361 0.250
0.639 0.000 0.250
0.639 0.639 0.750
0.000 0.000 0.000
0.000 0.000 0.500

Entry 5:
PrSm2Cd2In2 (PBE, relaxed); spin magnetization = 0.0 Bohr magnetons per cell; electronic total energy = -3.3689 eV/atom
1.0
2.498 1.442 9.207
-2.498 1.442 9.207
0.000 -2.885 9.207
Pr Sm Cd In
1 2 2 2
direct
0.000 0.000 0.000
0.129 0.129 0.129
0.871 0.871 0.871
0.403 0.403 0.403
0.597 0.597 0.597
0.260 0.260 0.260
0.740 0.740 0.740

Entry 6:
DyHo2Zn9 (PBE, relaxed); spin magnetization = 0.0 Bohr magnetons per cell; electronic total energy = -2.4159 eV/atom
1.0
2.714 1.567 8.547
-2.714 1.567 8.547
0.000 -3.134 8.547
Dy Ho Zn
1 2 9
direct
0.000 0.000 0.000
0.140 0.140 0.140
0.860 0.860 0.860
0.077 0.586 0.586
0.335 0.335 0.335
0.414 0.414 0.923
0.414 0.923 0.414
0.500 0.500 0.500
0.586 0.077 0.586
0.586 0.586 0.077
0.665 0.665 0.665
0.923 0.414 0.414

Q: Which formula does entry 1 have?
A: LaNdY6

Q: Look up the electronic total energy of the first one.
A: -5.9191 eV/atom